(1)
# CaMg3Sc, optimized geometry, DFT PBE-GGA
# * energy above the most stable polymorph in this dataset: 0.00 eV per formula unit
# * M_tot: 0.00 μB per formula unit
# * uncorrected energy: -2.025 eV/atom
data_CaMg3Sc
_symmetry_space_group_name_H-M 'P m -3 m'
_symmetry_Int_Tables_number 221
_symmetry_space_group_name_Hall '-P 4 2 3'
_cell_length_a 5.5468
_cell_length_b 5.5468
_cell_length_c 5.5468
_cell_angle_alpha 90.00
_cell_angle_beta 90.00
_cell_angle_gamma 90.00
loop_
_atom_site_label
_atom_site_fract_x
_atom_site_fract_y
_atom_site_fract_z
Ca1 0.0000 0.0000 0.0000
Mg1 0.0000 0.5000 0.5000
Sc1 0.5000 0.5000 0.5000

---

(2)
# Ca2MgSc, optimized geometry, DFT PBE-GGA
# * M_tot: 1.28 μB per formula unit
# * uncorrected energy: -2.809 eV/atom
data_Ca2MgSc
_symmetry_space_group_name_H-M 'R -3 m'
_symmetry_Int_Tables_number 166
_symmetry_space_group_name_Hall '-R 3 2"'
_cell_length_a 3.5792
_cell_length_b 3.5792
_cell_length_c 34.5758
_cell_angle_alpha 90.00
_cell_angle_beta 90.00
_cell_angle_gamma 120.00
loop_
_atom_site_label
_atom_site_fract_x
_atom_site_fract_y
_atom_site_fract_z
Ca1 0.0000 0.0000 0.2505
Mg1 0.0000 0.0000 0.0000
Sc1 0.0000 0.0000 0.5000

---

(3)
# Ca2MgSc, optimized geometry, DFT PBE-GGA
# * M_tot: 1.10 μB per formula unit
# * uncorrected energy: -2.867 eV/atom
data_Ca2MgSc
_symmetry_space_group_name_H-M 'C 1 m 1'
_symmetry_Int_Tables_number 8
_cell_length_a 12.7205
_cell_length_b 3.6976
_cell_length_c 5.8408
_cell_angle_alpha 90.00
_cell_angle_beta 112.31
_cell_angle_gamma 90.00
loop_
_symmetry_equiv_pos_as_xyz
'x,y,z'
'x,-y,z'
'x+1/2,y+1/2,z'
'x+1/2,-y+1/2,z'
loop_
_atom_site_label
_atom_site_fract_x
_atom_site_fract_y
_atom_site_fract_z
Ca1 0.0000 0.0000 0.0000
Ca2 0.2190 0.0000 0.6811
Mg1 0.4750 0.0000 0.4820
Sc1 0.2653 0.5000 0.2204

---

(4)
# Ca4Mg5Sc, optimized geometry, DFT PBE-GGA
# * M_tot: 0.02 μB per formula unit
# * uncorrected energy: -2.292 eV/atom
data_Ca4Mg5Sc
_symmetry_space_group_name_H-M 'P 4/m m m'
_symmetry_Int_Tables_number 123
_symmetry_space_group_name_Hall '-P 4 2'
_cell_length_a 3.8289
_cell_length_b 3.8289
_cell_length_c 20.0171
_cell_angle_alpha 90.00
_cell_angle_beta 90.00
_cell_angle_gamma 90.00
loop_
_atom_site_label
_atom_site_fract_x
_atom_site_fract_y
_atom_site_fract_z
Ca1 0.0000 0.0000 0.1046
Ca2 0.0000 0.0000 0.3135
Mg1 0.5000 0.5000 0.0000
Mg2 0.5000 0.5000 0.2087
Mg3 0.5000 0.5000 0.4180
Sc1 0.0000 0.0000 0.5000

---

(5)
# CaMgSc3, optimized geometry, DFT PBE-GGA
# * energy above the most stable polymorph in this dataset: 0.00 eV per formula unit
# * M_tot: 0.00 μB per formula unit
# * uncorrected energy: -3.912 eV/atom
data_CaMgSc3
_symmetry_space_group_name_H-M 'P m -3 m'
_symmetry_Int_Tables_number 221
_symmetry_space_group_name_Hall '-P 4 2 3'
_cell_length_a 5.3868
_cell_length_b 5.3868
_cell_length_c 5.3868
_cell_angle_alpha 90.00
_cell_angle_beta 90.00
_cell_angle_gamma 90.00
loop_
_atom_site_label
_atom_site_fract_x
_atom_site_fract_y
_atom_site_fract_z
Ca1 0.0000 0.0000 0.0000
Mg1 0.5000 0.5000 0.5000
Sc1 0.0000 0.5000 0.5000

---

(6)
# CaMgSc, optimized geometry, DFT PBE-GGA
# * energy above the most stable polymorph in this dataset: 1.41 eV per formula unit
# * M_tot: 0.00 μB per formula unit
# * uncorrected energy: -2.846 eV/atom
data_CaMgSc
_symmetry_space_group_name_H-M 'F -4 3 m'
_symmetry_Int_Tables_number 216
_symmetry_space_group_name_Hall 'F -4 2 3'
_cell_length_a 7.4040
_cell_length_b 7.4040
_cell_length_c 7.4040
_cell_angle_alpha 90.00
_cell_angle_beta 90.00
_cell_angle_gamma 90.00
loop_
_atom_site_label
_atom_site_fract_x
_atom_site_fract_y
_atom_site_fract_z
Ca1 0.0000 0.0000 0.0000
Mg1 0.2500 0.2500 0.2500
Sc1 0.0000 0.0000 0.5000